[1]
A plane-wave DFT calculation with PBE-GGA was carried out for a relaxed structure of Be8SiNi6.

Structure (CIF):
```
data_Be8SiNi6
_chemical_formula_sum 'Be24 Si3 Ni18'
_space_group_name_H-M_alt 'R -3'
_space_group_IT_number 148
_space_group_name_Hall '-R 3'
_cell_length_a 6.2182
_cell_length_b 6.2182
_cell_length_c 13.1703
_cell_angle_alpha 90.00
_cell_angle_beta 90.00
_cell_angle_gamma 120.00
loop_
_atom_site_label
_atom_site_type_symbol
_atom_site_fract_x
_atom_site_fract_y
_atom_site_fract_z
_atom_site_occupancy
Be1 Be 0.0000 0.0000 0.2281 1
Be2 Be 0.0193 0.3792 0.0504 1
Si1 Si 0.0000 0.0000 0.5000 1
Ni1 Ni 0.0059 0.7245 0.1106 1
```

Summary:
E_form (uncorrected)	-2.9	eV per formula unit
DOS(E_F)	20.84	states/eV/cell


[2]
A plane-wave DFT calculation with PBE-GGA was carried out for a relaxed structure of BeSiNi2.

Structure (CIF):
```
data_BeSiNi2
_chemical_formula_sum 'Be2 Si2 Ni4'
_space_group_name_H-M_alt 'C 1 2/m 1'
_space_group_IT_number 12
_cell_length_a 7.5021
_cell_length_b 2.5861
_cell_length_c 4.3736
_cell_angle_alpha 90.00
_cell_angle_beta 101.21
_cell_angle_gamma 90.00
loop_
_space_group_symop_operation_xyz
'x,y,z'
'-x,-y,-z'
'-x,y,-z'
'x,-y,z'
'x+1/2,y+1/2,z'
'-x+1/2,-y+1/2,-z'
'-x+1/2,y+1/2,-z'
'x+1/2,-y+1/2,z'
loop_
_atom_site_label
_atom_site_type_symbol
_atom_site_fract_x
_atom_site_fract_y
_atom_site_fract_z
_atom_site_occupancy
Be1 Be 0.0000 0.0000 0.0000 1
Si1 Si 0.0000 0.5000 0.5000 1
Ni1 Ni 0.2499 0.0000 0.7540 1
```

Summary:
E_form (uncorrected)	-1.4	eV per formula unit
DOS(E_F)	2.26	states/eV/cell


[3]
A plane-wave DFT calculation with PBE-GGA was carried out for a relaxed structure of BeSiNi3.

Structure (CIF):
```
data_BeSiNi3
_chemical_formula_sum 'Be1 Si1 Ni3'
_space_group_name_H-M_alt 'P m -3 m'
_space_group_IT_number 221
_space_group_name_Hall '-P 4 2 3'
_cell_length_a 3.8305
_cell_length_b 3.8305
_cell_length_c 3.8305
_cell_angle_alpha 90.00
_cell_angle_beta 90.00
_cell_angle_gamma 90.00
loop_
_atom_site_label
_atom_site_type_symbol
_atom_site_fract_x
_atom_site_fract_y
_atom_site_fract_z
_atom_site_occupancy
Be1 Be 0.0000 0.0000 0.0000 1
Si1 Si 0.5000 0.5000 0.5000 1
Ni1 Ni 0.0000 0.0000 0.5000 1
```

Summary:
E_form (uncorrected)	0.8	eV per formula unit
DOS(E_F)	2.89	states/eV/cell


[4]
A plane-wave DFT calculation with PBE-GGA was carried out for a relaxed structure of BeSiNi5.

Structure (CIF):
```
data_BeSiNi5
_chemical_formula_sum 'Be1 Si1 Ni5'
_space_group_name_H-M_alt 'P 4/m m m'
_space_group_IT_number 123
_space_group_name_Hall '-P 4 2'
_cell_length_a 3.7979
_cell_length_b 3.7979
_cell_length_c 5.4162
_cell_angle_alpha 90.00
_cell_angle_beta 90.00
_cell_angle_gamma 90.00
loop_
_atom_site_label
_atom_site_type_symbol
_atom_site_fract_x
_atom_site_fract_y
_atom_site_fract_z
_atom_site_occupancy
Be1 Be 0.0000 0.0000 0.0000 1
Si1 Si 0.5000 0.5000 0.5000 1
Ni1 Ni 0.0000 0.5000 0.2609 1
Ni2 Ni 0.5000 0.5000 0.0000 1
```

Summary:
E_form (uncorrected)	-1.7	eV per formula unit
DOS(E_F)	6.09	states/eV/cell


[5]
A plane-wave DFT calculation with PBE-GGA was carried out for a relaxed structure of BeSi2Ni.

Structure (CIF):
```
data_BeSi2Ni
_chemical_formula_sum 'Be1 Si2 Ni1'
_space_group_name_H-M_alt 'P m m m'
_space_group_IT_number 47
_cell_length_a 3.4860
_cell_length_b 3.5489
_cell_length_c 3.6799
_cell_angle_alpha 90.00
_cell_angle_beta 90.00
_cell_angle_gamma 90.00
loop_
_space_group_symop_operation_xyz
'x,y,z'
'-x,-y,-z'
'-x,-y,z'
'x,y,-z'
'x,-y,-z'
'-x,y,z'
'-x,y,-z'
'x,-y,z'
loop_
_atom_site_label
_atom_site_type_symbol
_atom_site_fract_x
_atom_site_fract_y
_atom_site_fract_z
_atom_site_occupancy
Be1 Be 0.0000 0.0000 0.0000 1
Si1 Si 0.0000 0.5000 0.5000 1
Si2 Si 0.5000 0.5000 0.0000 1
Ni1 Ni 0.5000 0.0000 0.5000 1
```

Summary:
E_form (uncorrected)	0.2	eV per formula unit
DOS(E_F)	2.07	states/eV/cell


[6]
A plane-wave DFT calculation with PBE-GGA was carried out for a relaxed structure of BeSi2Ni.

Structure (CIF):
```
data_BeSi2Ni
_chemical_formula_sum 'Be1 Si2 Ni1'
_space_group_name_H-M_alt 'P m m m'
_space_group_IT_number 47
_cell_length_a 2.5749
_cell_length_b 3.4987
_cell_length_c 5.0132
_cell_angle_alpha 90.00
_cell_angle_beta 90.00
_cell_angle_gamma 90.00
loop_
_space_group_symop_operation_xyz
'x,y,z'
'-x,-y,-z'
'-x,-y,z'
'x,y,-z'
'x,-y,-z'
'-x,y,z'
'-x,y,-z'
'x,-y,z'
loop_
_atom_site_label
_atom_site_type_symbol
_atom_site_fract_x
_atom_site_fract_y
_atom_site_fract_z
_atom_site_occupancy
Be1 Be 0.0000 0.0000 0.0000 1
Si1 Si 0.5000 0.5000 0.2425 1
Ni1 Ni 0.0000 0.0000 0.5000 1
```

Summary:
E_form (uncorrected)	0.2	eV per formula unit
DOS(E_F)	1.06	states/eV/cell


[7]
A plane-wave DFT calculation with PBE-GGA was carried out for a relaxed structure of Be2Si2Ni3.

Structure (CIF):
```
data_Be2Si2Ni3
_chemical_formula_sum 'Be4 Si4 Ni6'
_space_group_name_H-M_alt 'C 1 2/m 1'
_space_group_IT_number 12
_cell_length_a 6.6708
_cell_length_b 3.8509
_cell_length_c 6.2802
_cell_angle_alpha 90.00
_cell_angle_beta 110.66
_cell_angle_gamma 90.00
loop_
_space_group_symop_operation_xyz
'x,y,z'
'-x,-y,-z'
'-x,y,-z'
'x,-y,z'
'x+1/2,y+1/2,z'
'-x+1/2,-y+1/2,-z'
'-x+1/2,y+1/2,-z'
'x+1/2,-y+1/2,z'
loop_
_atom_site_label
_atom_site_type_symbol
_atom_site_fract_x
_atom_site_fract_y
_atom_site_fract_z
_atom_site_occupancy
Be1 Be 0.1318 0.0000 0.3968 1
Si1 Si 0.0996 0.5000 0.7987 1
Ni1 Ni 0.0000 0.0000 0.0000 1
Ni2 Ni 0.2416 0.5000 0.2264 1
```

Summary:
E_form (uncorrected)	-2.7	eV per formula unit
DOS(E_F)	4.17	states/eV/cell


[8]
A plane-wave DFT calculation with PBE-GGA was carried out for a relaxed structure of Be2SiNi8.

Structure (CIF):
```
data_Be2SiNi8
_chemical_formula_sum 'Be4 Si2 Ni16'
_space_group_name_H-M_alt 'C 1 2/m 1'
_space_group_IT_number 12
_cell_length_a 11.9532
_cell_length_b 3.6236
_cell_length_c 5.4900
_cell_angle_alpha 90.00
_cell_angle_beta 108.96
_cell_angle_gamma 90.00
loop_
_space_group_symop_operation_xyz
'x,y,z'
'-x,-y,-z'
'-x,y,-z'
'x,-y,z'
'x+1/2,y+1/2,z'
'-x+1/2,-y+1/2,-z'
'-x+1/2,y+1/2,-z'
'x+1/2,-y+1/2,z'
loop_
_atom_site_label
_atom_site_type_symbol
_atom_site_fract_x
_atom_site_fract_y
_atom_site_fract_z
_atom_site_occupancy
Be1 Be 0.2214 0.0000 0.1467 1
Si1 Si 0.0000 0.5000 0.5000 1
Ni1 Ni 0.0442 0.0000 0.2324 1
Ni2 Ni 0.1026 0.5000 0.9668 1
Ni3 Ni 0.1520 0.0000 0.7150 1
Ni4 Ni 0.1798 0.5000 0.4320 1
```

Summary:
E_form (uncorrected)	-3.1	eV per formula unit
DOS(E_F)	23.13	states/eV/cell


[9]
A plane-wave DFT calculation with PBE-GGA was carried out for a relaxed structure of BeSi2Ni.

Structure (CIF):
```
data_BeSi2Ni
_chemical_formula_sum 'Be3 Si6 Ni3'
_space_group_name_H-M_alt 'R -3 m'
_space_group_IT_number 166
_space_group_name_Hall '-R 3 2"'
_cell_length_a 2.7271
_cell_length_b 2.7271
_cell_length_c 21.7760
_cell_angle_alpha 90.00
_cell_angle_beta 90.00
_cell_angle_gamma 120.00
loop_
_atom_site_label
_atom_site_type_symbol
_atom_site_fract_x
_atom_site_fract_y
_atom_site_fract_z
_atom_site_occupancy
Be1 Be 0.0000 0.0000 0.0000 1
Si1 Si 0.0000 0.0000 0.2494 1
Ni1 Ni 0.0000 0.0000 0.5000 1
```

Summary:
E_form (uncorrected)	-0.1	eV per formula unit
DOS(E_F)	6.90	states/eV/cell


[10]
A plane-wave DFT calculation with PBE-GGA was carried out for a relaxed structure of BeSiNi2.

Structure (CIF):
```
data_BeSiNi2
_chemical_formula_sum 'Be3 Si3 Ni6'
_space_group_name_H-M_alt 'R 3 m'
_space_group_IT_number 160
_space_group_name_Hall 'R 3 -2"'
_cell_length_a 2.5988
_cell_length_b 2.5988
_cell_length_c 21.5013
_cell_angle_alpha 90.00
_cell_angle_beta 90.00
_cell_angle_gamma 120.00
loop_
_atom_site_label
_atom_site_type_symbol
_atom_site_fract_x
_atom_site_fract_y
_atom_site_fract_z
_atom_site_occupancy
Be1 Be 0.0000 0.0000 0.0000 1
Si1 Si 0.0000 0.0000 0.8335 1
Ni1 Ni 0.0000 0.0000 0.2529 1
Ni2 Ni 0.0000 0.0000 0.4142 1
```

Summary:
E_form (uncorrected)	-1.2	eV per formula unit
DOS(E_F)	4.72	states/eV/cell


[11]
A plane-wave DFT calculation with PBE-GGA was carried out for a relaxed structure of Be4SiNi.

Structure (CIF):
```
data_Be4SiNi
_chemical_formula_sum 'Be16 Si4 Ni4'
_space_group_name_H-M_alt 'F -4 3 m'
_space_group_IT_number 216
_space_group_name_Hall 'F -4 2 3'
_cell_length_a 5.9776
_cell_length_b 5.9776
_cell_length_c 5.9776
_cell_angle_alpha 90.00
_cell_angle_beta 90.00
_cell_angle_gamma 90.00
loop_
_atom_site_label
_atom_site_type_symbol
_atom_site_fract_x
_atom_site_fract_y
_atom_site_fract_z
_atom_site_occupancy
Be1 Be 0.1255 0.1255 0.1255 1
Si1 Si 0.2500 0.2500 0.7500 1
Ni1 Ni 0.0000 0.0000 0.5000 1
```

Summary:
E_form (uncorrected)	-0.7	eV per formula unit
DOS(E_F)	12.92	states/eV/cell


[12]
A plane-wave DFT calculation with PBE-GGA was carried out for a relaxed structure of BeSi2Ni.

Structure (CIF):
```
data_BeSi2Ni
_chemical_formula_sum 'Be2 Si4 Ni2'
_space_group_name_H-M_alt 'C m m m'
_space_group_IT_number 65
_space_group_name_Hall '-C 2 2'
_cell_length_a 5.0487
_cell_length_b 6.9726
_cell_length_c 2.5624
_cell_angle_alpha 90.00
_cell_angle_beta 90.00
_cell_angle_gamma 90.00
loop_
_atom_site_label
_atom_site_type_symbol
_atom_site_fract_x
_atom_site_fract_y
_atom_site_fract_z
_atom_site_occupancy
Be1 Be 0.0000 0.0000 0.0000 1
Si1 Si 0.2500 0.2500 0.5000 1
Ni1 Ni 0.0000 0.5000 0.0000 1
```

Summary:
E_form (uncorrected)	0.1	eV per formula unit
DOS(E_F)	2.13	states/eV/cell